# 1
Entry from Alexandria via LeMat-Bulk: an optimized crystal structure of CuAg12Se6 (PBE).

Cell and atoms, written as CIF:
```
data_CuAg12Se6
_chemical_formula_sum 'Cu1 Ag12 Se6'
_cell_length_a 6.312
_cell_length_b 7.715
_cell_length_c 9.002
_cell_angle_alpha 66.32
_cell_angle_beta 89.79
_cell_angle_gamma 84.44
_symmetry_space_group_name_H-M 'P -1'
_symmetry_Int_Tables_number 2
loop_
_symmetry_equiv_pos_as_xyz
'x,y,z'
'-x,-y,-z'
loop_
_atom_site_label
_atom_site_fract_x
_atom_site_fract_y
_atom_site_fract_z
Cu1 0.000 0.000 0.000
Ag1 0.122 0.554 0.629
Ag2 0.148 0.843 0.775
Ag3 0.244 0.937 0.442
Ag4 0.292 0.454 0.955
Ag5 0.462 0.328 0.314
Ag6 0.497 0.274 0.746
Se1 0.158 0.660 0.124
Se2 0.203 0.217 0.569
Se3 0.284 0.086 0.125
```

Calculated values
V (Å³/f.u.): 399.29
Raw formation energy (meV per atom): -8

# 2
Entry from Alexandria via LeMat-Bulk: an optimized crystal structure of Ca3La5 (PBE).

Cell and atoms, written as CIF:
```
data_Ca3La5
_chemical_formula_sum 'Ca6 La10'
_cell_length_a 10.5564
_cell_length_b 10.5564
_cell_length_c 6.5590
_cell_angle_alpha 90.00
_cell_angle_beta 90.00
_cell_angle_gamma 120.00
_symmetry_space_group_name_H-M 'P 63/m c m'
_symmetry_Int_Tables_number 193
_symmetry_space_group_name_Hall '-P 6c 2'
loop_
_atom_site_label
_atom_site_fract_x
_atom_site_fract_y
_atom_site_fract_z
Ca1 0.0000 0.4013 0.2500
La1 0.0000 0.2140 0.7500
La2 0.3333 0.6667 0.0000
```

Calculated values
V (Å³/f.u.): 316.50
Offset from the most stable computed form (meV per atom): 205.4

# 3
Entry from Alexandria via LeMat-Bulk: an optimized crystal structure of KMg2Si (PBE).

Cell and atoms, written as CIF:
```
data_KMg2Si
_chemical_formula_sum 'K2 Mg4 Si2'
_cell_length_a 8.293
_cell_length_b 3.461
_cell_length_c 8.351
_cell_angle_alpha 90.00
_cell_angle_beta 96.68
_cell_angle_gamma 90.00
_symmetry_space_group_name_H-M 'C 1 2/m 1'
_symmetry_Int_Tables_number 12
loop_
_symmetry_equiv_pos_as_xyz
'x,y,z'
'-x,-y,-z'
'-x,y,-z'
'x,-y,z'
'x+1/2,y+1/2,z'
'-x+1/2,-y+1/2,-z'
'-x+1/2,y+1/2,-z'
'x+1/2,-y+1/2,z'
loop_
_atom_site_label
_atom_site_fract_x
_atom_site_fract_y
_atom_site_fract_z
K1 0.000 0.000 0.000
Mg1 0.224 0.000 0.652
Si1 0.000 0.500 0.500
```

Calculated values
V (Å³/f.u.): 119.06
Raw formation energy (meV per atom): 192